A relaxed MnSe2I crystal. Source: the Alexandria database, functional GGA-PBE. Values from VASP.

Summary:
The calculation puts the formation energy (no corrections) at -0.23 eV/atom.

Geometry as Quantum ESPRESSO input:
```
&SYSTEM
  ibrav = 0, nat = 4, ntyp = 3
/
ATOMIC_SPECIES
Mn 54.94 Mn.upf
Se 78.96 Se.upf
I 126.90 I.upf
ATOMIC_POSITIONS crystal
Mn 0.000 0.000 0.000
Se 0.386 0.386 0.386
Se 0.614 0.614 0.614
I 0.500 0.500 0.500
CELL_PARAMETERS angstrom
1.951 1.126 8.163
-1.951 1.126 8.163
0.000 -2.252 8.163
```